A relaxed SrIr4Ru crystal, computed with GGA-PBE.

```
SrIr4Ru
1.0
-2.427 -0.585 4.697
-5.308 -0.245 0.239
-2.399 -4.593 1.200
Sr Ir Ru
1 4 1
Cartesian
0.000 0.000 0.000
-5.014 -2.327 4.644
-5.000 -4.325 2.901
-6.450 -2.158 2.422
-3.804 -2.036 2.303
-7.601 -4.067 4.602
```

Summary:
**Space group**: F-43m
**DFT formation energy**: 2.106 eV/f.u.
**E_tot**: -7.3826 eV per atom
**Spin magnetization**: 4.231 μB per formula unit
**Density of states at the Fermi level**: 1.64 states/eV per atom